Entry 1:
Entry from Alexandria: a geometry-optimized Pr2NdEr3Tm6 structure (PBE).

Computed properties:
- symmetry = C2/m, No. 12
- energy of formation from the pure elements (eV/f.u.) = 0.321
- total DFT energy (no corrections) (eV per atom) = -4.544

Cell and atoms, written as CIF:
```
data_Pr2NdEr3Tm6
_space_group_name_H-M_alt 'P 1'
_space_group_IT_number 1
_cell_length_a 6.152
_cell_length_b 6.152
_cell_length_c 11.695
_cell_angle_alpha 95.02
_cell_angle_beta 95.02
_cell_angle_gamma 119.96
loop_
_space_group_symop_operation_xyz
'x,y,z'
loop_
_atom_site_label
_atom_site_fract_x
_atom_site_fract_y
_atom_site_fract_z
Pr1 0.167 0.833 0.000
Pr2 0.833 0.167 0.000
Nd1 0.500 0.500 0.000
Er1 0.000 0.000 0.500
Er2 0.333 0.667 0.500
Er3 0.667 0.333 0.500
Tm1 0.081 0.414 0.745
Tm2 0.253 0.253 0.255
Tm3 0.414 0.081 0.745
Tm4 0.586 0.919 0.255
Tm5 0.747 0.747 0.745
Tm6 0.919 0.586 0.255
```


Entry 2:
Entry from Alexandria: a geometry-optimized Pr6NdEr2Tm structure (PBE).

Computed properties:
- symmetry = C2/c, No. 15
- energy of formation from the pure elements (eV/f.u.) = 1.136
- total DFT energy (no corrections) (eV per atom) = -4.591

Cell and atoms, written as CIF:
```
data_Pr6NdEr2Tm
_space_group_name_H-M_alt 'P 1'
_space_group_IT_number 1
_cell_length_a 8.996
_cell_length_b 8.996
_cell_length_c 9.688
_cell_angle_alpha 93.64
_cell_angle_beta 93.64
_cell_angle_gamma 117.04
loop_
_space_group_symop_operation_xyz
'x,y,z'
loop_
_atom_site_label
_atom_site_fract_x
_atom_site_fract_y
_atom_site_fract_z
Pr1 0.004 0.561 0.188
Pr2 0.115 0.762 0.555
Pr3 0.238 0.885 0.945
Pr4 0.295 0.514 0.383
Pr5 0.439 0.996 0.312
Pr6 0.486 0.705 0.117
Pr7 0.514 0.295 0.883
Pr8 0.561 0.004 0.688
Pr9 0.705 0.486 0.617
Pr10 0.762 0.115 0.055
Pr11 0.885 0.238 0.445
Pr12 0.996 0.439 0.812
Nd1 0.029 0.971 0.250
Nd2 0.971 0.029 0.750
Er1 0.203 0.299 0.049
Er2 0.299 0.203 0.549
Er3 0.701 0.797 0.451
Er4 0.797 0.701 0.951
Tm1 0.412 0.588 0.750
Tm2 0.588 0.412 0.250
```


Entry 3:
Entry from Alexandria: a geometry-optimized PrNd6ErTm2 structure (PBE).

Computed properties:
- symmetry = C2/c, No. 15
- energy of formation from the pure elements (eV/f.u.) = 1.136
- total DFT energy (no corrections) (eV per atom) = -4.576

Cell and atoms, written as CIF:
```
data_PrNd6ErTm2
_space_group_name_H-M_alt 'P 1'
_space_group_IT_number 1
_cell_length_a 8.940
_cell_length_b 8.940
_cell_length_c 9.636
_cell_angle_alpha 93.44
_cell_angle_beta 93.44
_cell_angle_gamma 116.80
loop_
_space_group_symop_operation_xyz
'x,y,z'
loop_
_atom_site_label
_atom_site_fract_x
_atom_site_fract_y
_atom_site_fract_z
Pr1 0.031 0.969 0.750
Pr2 0.969 0.031 0.250
Nd1 0.005 0.558 0.685
Nd2 0.114 0.761 0.055
Nd3 0.239 0.886 0.445
Nd4 0.295 0.516 0.883
Nd5 0.442 0.995 0.815
Nd6 0.484 0.705 0.617
Nd7 0.516 0.295 0.383
Nd8 0.558 0.005 0.185
Nd9 0.705 0.484 0.117
Nd10 0.761 0.114 0.555
Nd11 0.886 0.239 0.945
Nd12 0.995 0.442 0.315
Er1 0.412 0.588 0.250
Er2 0.588 0.412 0.750
Tm1 0.204 0.301 0.550
Tm2 0.301 0.204 0.050
Tm3 0.699 0.796 0.950
Tm4 0.796 0.699 0.450
```


Entry 4:
Entry from Alexandria: a geometry-optimized Pr2NdEr5Tm structure (PBE).

Computed properties:
- symmetry = I4/mcm, No. 140
- energy of formation from the pure elements (eV/f.u.) = 2.418
- total DFT energy (no corrections) (eV per atom) = -4.355

Cell and atoms, written as CIF:
```
data_Pr2NdEr5Tm
_space_group_name_H-M_alt 'P 1'
_space_group_IT_number 1
_cell_length_a 9.897
_cell_length_b 9.897
_cell_length_c 9.897
_cell_angle_alpha 127.87
_cell_angle_beta 127.87
_cell_angle_gamma 76.83
loop_
_space_group_symop_operation_xyz
'x,y,z'
loop_
_atom_site_label
_atom_site_fract_x
_atom_site_fract_y
_atom_site_fract_z
Pr1 0.117 0.617 0.735
Pr2 0.383 0.117 0.500
Pr3 0.617 0.883 0.500
Pr4 0.883 0.383 0.265
Nd1 0.250 0.250 0.000
Nd2 0.750 0.750 0.000
Er1 0.000 0.000 0.000
Er2 0.072 0.149 0.500
Er3 0.149 0.649 0.077
Er4 0.351 0.428 0.500
Er5 0.428 0.928 0.077
Er6 0.500 0.500 0.000
Er7 0.572 0.072 0.923
Er8 0.649 0.572 0.500
Er9 0.851 0.351 0.923
Er10 0.928 0.851 0.500
Tm1 0.250 0.750 0.500
Tm2 0.750 0.250 0.500
```


Entry 5:
Entry from Alexandria: a geometry-optimized Pr4NdEr2Tm structure (PBE).

Computed properties:
- symmetry = Pmmm, No. 47
- energy of formation from the pure elements (eV/f.u.) = 0.131
- total DFT energy (no corrections) (eV per atom) = -4.669

Cell and atoms, written as CIF:
```
data_Pr4NdEr2Tm
_space_group_name_H-M_alt 'P 1'
_space_group_IT_number 1
_cell_length_a 5.154
_cell_length_b 5.179
_cell_length_c 10.119
_cell_angle_alpha 90.00
_cell_angle_beta 90.00
_cell_angle_gamma 90.00
loop_
_space_group_symop_operation_xyz
'x,y,z'
loop_
_atom_site_label
_atom_site_fract_x
_atom_site_fract_y
_atom_site_fract_z
Pr1 0.000 0.000 0.247
Pr2 0.000 0.000 0.753
Pr3 0.500 0.500 0.247
Pr4 0.500 0.500 0.753
Nd1 0.000 0.500 0.500
Er1 0.000 0.500 0.000
Er2 0.500 0.000 0.500
Tm1 0.500 0.000 0.000
```


Entry 6:
Entry from Alexandria: a geometry-optimized Pr5NdEr2Tm structure (PBE).

Computed properties:
- symmetry = Cmc2_1, No. 36
- energy of formation from the pure elements (eV/f.u.) = 1.280
- total DFT energy (no corrections) (eV per atom) = -4.554

Cell and atoms, written as CIF:
```
data_Pr5NdEr2Tm
_space_group_name_H-M_alt 'P 1'
_space_group_IT_number 1
_cell_length_a 10.671
_cell_length_b 10.671
_cell_length_c 10.827
_cell_angle_alpha 90.00
_cell_angle_beta 90.00
_cell_angle_gamma 149.23
loop_
_space_group_symop_operation_xyz
'x,y,z'
loop_
_atom_site_label
_atom_site_fract_x
_atom_site_fract_y
_atom_site_fract_z
Pr1 0.015 0.985 0.500
Pr2 0.280 0.720 0.792
Pr3 0.296 0.704 0.185
Pr4 0.387 0.613 0.504
Pr5 0.483 0.517 0.226
Pr6 0.517 0.483 0.726
Pr7 0.613 0.387 0.004
Pr8 0.704 0.296 0.685
Pr9 0.720 0.280 0.292
Pr10 0.985 0.015 0.000
Nd1 0.200 0.800 0.491
Nd2 0.800 0.200 0.991
Er1 0.111 0.889 0.222
Er2 0.115 0.885 0.790
Er3 0.885 0.115 0.290
Er4 0.889 0.111 0.722
Tm1 0.408 0.592 0.945
Tm2 0.592 0.408 0.445
```


Entry 7:
Entry from Alexandria: a geometry-optimized PrNd4Er2Tm structure (PBE).

Computed properties:
- symmetry = Pmmm, No. 47
- energy of formation from the pure elements (eV/f.u.) = 0.135
- total DFT energy (no corrections) (eV per atom) = -4.664

Cell and atoms, written as CIF:
```
data_PrNd4Er2Tm
_space_group_name_H-M_alt 'P 1'
_space_group_IT_number 1
_cell_length_a 5.118
_cell_length_b 5.148
_cell_length_c 10.148
_cell_angle_alpha 90.00
_cell_angle_beta 90.00
_cell_angle_gamma 90.00
loop_
_space_group_symop_operation_xyz
'x,y,z'
loop_
_atom_site_label
_atom_site_fract_x
_atom_site_fract_y
_atom_site_fract_z
Pr1 0.000 0.000 0.000
Nd1 0.000 0.500 0.253
Nd2 0.000 0.500 0.747
Nd3 0.500 0.000 0.254
Nd4 0.500 0.000 0.746
Er1 0.000 0.000 0.500
Er2 0.500 0.500 0.000
Tm1 0.500 0.500 0.500
```


Entry 8:
Entry from Alexandria: a geometry-optimized PrNd2Y4Er2 structure (PBE).

Computed properties:
- symmetry = C2/m, No. 12
- energy of formation from the pure elements (eV/f.u.) = 0.059
- total DFT energy (no corrections) (eV per atom) = -5.471

Cell and atoms, written as CIF:
```
data_PrNd2Y4Er2
_space_group_name_H-M_alt 'P 1'
_space_group_IT_number 1
_cell_length_a 9.573
_cell_length_b 9.573
_cell_length_c 9.646
_cell_angle_alpha 115.14
_cell_angle_beta 115.14
_cell_angle_gamma 21.89
loop_
_space_group_symop_operation_xyz
'x,y,z'
loop_
_atom_site_label
_atom_site_fract_x
_atom_site_fract_y
_atom_site_fract_z
Pr1 0.000 0.000 0.000
Nd1 0.148 0.148 0.668
Nd2 0.852 0.852 0.332
Y1 0.185 0.185 0.333
Y2 0.481 0.481 0.667
Y3 0.519 0.519 0.333
Y4 0.815 0.815 0.667
Er1 0.332 0.332 0.998
Er2 0.668 0.668 0.002
```


Entry 9:
Entry from Alexandria: a geometry-optimized Pr3NdY2Er6 structure (PBE).

Computed properties:
- symmetry = C2/m, No. 12
- energy of formation from the pure elements (eV/f.u.) = 0.246
- total DFT energy (no corrections) (eV per atom) = -4.930

Cell and atoms, written as CIF:
```
data_Pr3NdY2Er6
_space_group_name_H-M_alt 'P 1'
_space_group_IT_number 1
_cell_length_a 6.220
_cell_length_b 6.220
_cell_length_c 11.812
_cell_angle_alpha 95.02
_cell_angle_beta 95.02
_cell_angle_gamma 119.98
loop_
_space_group_symop_operation_xyz
'x,y,z'
loop_
_atom_site_label
_atom_site_fract_x
_atom_site_fract_y
_atom_site_fract_z
Pr1 0.000 0.000 0.000
Pr2 0.333 0.667 0.000
Pr3 0.667 0.333 0.000
Nd1 0.500 0.500 0.500
Y1 0.167 0.833 0.500
Y2 0.833 0.167 0.500
Er1 0.084 0.417 0.252
Er2 0.250 0.250 0.748
Er3 0.417 0.084 0.252
Er4 0.583 0.916 0.748
Er5 0.750 0.750 0.252
Er6 0.916 0.583 0.748
```


Entry 10:
Entry from Alexandria: a geometry-optimized Pr5NdY2Er structure (PBE).

Computed properties:
- symmetry = I4/mcm, No. 140
- energy of formation from the pure elements (eV/f.u.) = 2.698
- total DFT energy (no corrections) (eV per atom) = -4.829

Cell and atoms, written as CIF:
```
data_Pr5NdY2Er
_space_group_name_H-M_alt 'P 1'
_space_group_IT_number 1
_cell_length_a 9.767
_cell_length_b 9.767
_cell_length_c 9.767
_cell_angle_alpha 121.43
_cell_angle_beta 121.43
_cell_angle_gamma 87.54
loop_
_space_group_symop_operation_xyz
'x,y,z'
loop_
_atom_site_label
_atom_site_fract_x
_atom_site_fract_y
_atom_site_fract_z
Pr1 0.000 0.000 0.000
Pr2 0.069 0.569 0.904
Pr3 0.165 0.069 0.500
Pr4 0.335 0.835 0.904
Pr5 0.431 0.335 0.500
Pr6 0.500 0.500 0.000
Pr7 0.569 0.665 0.500
Pr8 0.665 0.165 0.096
Pr9 0.835 0.931 0.500
Pr10 0.931 0.431 0.096
Nd1 0.250 0.250 0.000
Nd2 0.750 0.750 0.000
Y1 0.108 0.392 0.500
Y2 0.392 0.892 0.284
Y3 0.608 0.108 0.716
Y4 0.892 0.608 0.500
Er1 0.250 0.750 0.500
Er2 0.750 0.250 0.500
```


Entry 11:
Entry from Alexandria: a geometry-optimized Pr2Nd2Y4Er structure (PBE).

Computed properties:
- symmetry = C2/m, No. 12
- energy of formation from the pure elements (eV/f.u.) = 0.045
- total DFT energy (no corrections) (eV per atom) = -5.496

Cell and atoms, written as CIF:
```
data_Pr2Nd2Y4Er
_space_group_name_H-M_alt 'P 1'
_space_group_IT_number 1
_cell_length_a 9.655
_cell_length_b 9.655
_cell_length_c 9.727
_cell_angle_alpha 115.28
_cell_angle_beta 115.28
_cell_angle_gamma 21.81
loop_
_space_group_symop_operation_xyz
'x,y,z'
loop_
_atom_site_label
_atom_site_fract_x
_atom_site_fract_y
_atom_site_fract_z
Pr1 0.148 0.148 0.164
Pr2 0.852 0.852 0.836
Nd1 0.335 0.335 0.499
Nd2 0.665 0.665 0.501
Y1 0.184 0.184 0.834
Y2 0.481 0.481 0.170
Y3 0.519 0.519 0.830
Y4 0.816 0.816 0.166
Er1 0.000 0.000 0.500
```


Entry 12:
Entry from Alexandria: a geometry-optimized PrNd6Y2Er3 structure (PBE).

Computed properties:
- symmetry = C2/m, No. 12
- energy of formation from the pure elements (eV/f.u.) = 0.159
- total DFT energy (no corrections) (eV per atom) = -4.987

Cell and atoms, written as CIF:
```
data_PrNd6Y2Er3
_space_group_name_H-M_alt 'P 1'
_space_group_IT_number 1
_cell_length_a 6.290
_cell_length_b 6.290
_cell_length_c 11.916
_cell_angle_alpha 95.03
_cell_angle_beta 95.03
_cell_angle_gamma 120.00
loop_
_space_group_symop_operation_xyz
'x,y,z'
loop_
_atom_site_label
_atom_site_fract_x
_atom_site_fract_y
_atom_site_fract_z
Pr1 0.000 0.000 0.000
Nd1 0.085 0.418 0.254
Nd2 0.249 0.249 0.747
Nd3 0.418 0.085 0.254
Nd4 0.582 0.915 0.746
Nd5 0.751 0.751 0.253
Nd6 0.915 0.582 0.746
Y1 0.333 0.667 0.000
Y2 0.667 0.333 0.000
Er1 0.167 0.833 0.500
Er2 0.500 0.500 0.500
Er3 0.833 0.167 0.500
```


> energy of formation from the pure elements of number 11 (Pr2Nd2Y4Er)?

0.045 eV/f.u.